# 1
# Pr2Nd4Th PBE optimized geometry
data_Pr2Nd4Th
_chemical_formula_sum 'Pr6 Nd12 Th3'
_cell_length_a 3.6748
_cell_length_b 3.6748
_cell_length_c 63.0161
_cell_angle_alpha 90.00
_cell_angle_beta 90.00
_cell_angle_gamma 120.00
_symmetry_space_group_name_H-M 'R -3 m'
_symmetry_Int_Tables_number 166
_symmetry_space_group_name_Hall '-R 3 2"'
loop_
_atom_site_label
_atom_site_type_symbol
_atom_site_fract_x
_atom_site_fract_y
_atom_site_fract_z
Pr1 Pr 0.0000 0.0000 0.0715
Nd1 Nd 0.0000 0.0000 0.2122
Nd2 Nd 0.0000 0.0000 0.3573
Th1 Th 0.0000 0.0000 0.5000
# * magnetization: 0.0 μB per formula unit
# * total energy: -5.1308 eV per atom
# * energy of formation: 0.135 eV per formula unit
# * offset from the most stable computed form: 0 meV per atom

# 2
# Pr7Nd4Th PBE optimized geometry
data_Pr7Nd4Th
_chemical_formula_sum 'Pr7 Nd4 Th1'
_cell_length_a 6.439
_cell_length_b 7.449
_cell_length_c 9.197
_cell_angle_alpha 90.06
_cell_angle_beta 103.56
_cell_angle_gamma 90.03
_symmetry_space_group_name_H-M 'P -1'
_symmetry_Int_Tables_number 2
_symmetry_space_group_name_Hall '-P 1'
loop_
_atom_site_label
_atom_site_type_symbol
_atom_site_fract_x
_atom_site_fract_y
_atom_site_fract_z
Pr1 Pr 0.000 0.000 0.000
Pr2 Pr 0.219 0.499 0.674
Pr3 Pr 0.274 0.254 0.328
Pr4 Pr 0.500 0.255 0.000
Nd1 Nd 0.223 0.999 0.665
Nd2 Nd 0.273 0.748 0.327
Th1 Th 0.000 0.500 0.000
# * magnetization: 0.0 μB per formula unit
# * total energy: -4.9713 eV per atom
# * energy of formation: 0.292 eV per formula unit